(1)
This record from the Alexandria database describes an optimized crystal structure of USi2IrOs. The functional is GGA-PBE.

The calculated density comes out at 13.553 g cm⁻³. Its total magnetization is 1.89 μB per formula unit. As for the space group: I-4m2. Its total DFT energy (no corrections) is -45.54 eV per cell. The calculation puts the raw formation energy at -0.66 eV/atom.

Cell and atoms, written as extended XYZ:
```
5
Lattice="4.112 0.000 0.000 0.000 4.112 0.000 -2.056 -2.056 4.902" Properties=species:S:1:pos:R:3 pbc="T T T"
Si 0.000 0.000 3.711
Si 2.056 2.056 1.191
Os 2.056 0.000 2.451
U 0.000 0.000 0.000
Ir 0.000 2.056 2.451
```

***

(2)
This record from the Alexandria database describes an optimized crystal structure of Tm2Al9Ni3. The functional is GGA-PBE.

The calculated density comes out at 5.679 g cm⁻³. Its total magnetization is 0.00 μB per formula unit. As for the space group: C2/c. Its total DFT energy (no corrections) is -135.49 eV per cell.

Cell and atoms, written as extended XYZ:
```
28
Lattice="6.864 -0.038 -2.885 -4.043 6.253 0.000 0.250 0.200 10.190" Properties=species:S:1:pos:R:3 pbc="T T T"
Tm -1.589 2.640 2.537
Tm 1.577 4.735 0.632
Tm 4.661 3.774 4.768
Tm 1.495 1.679 6.673
Ni 1.536 3.207 3.653
Ni 5.206 1.135 2.665
Ni -2.135 5.279 4.640
Ni -0.205 2.128 -0.489
Ni 3.432 -0.019 -1.442
Ni 3.276 4.286 7.795
Al 3.059 1.258 4.073
Al 3.483 0.539 0.991
Al 5.713 0.953 5.093
Al 5.883 0.075 -1.971
Al -1.306 4.312 0.098
Al 0.345 0.975 4.040
Al 2.346 2.245 -0.859
Al -0.412 5.875 6.314
Al 1.937 4.537 5.728
Al 2.726 5.438 3.265
Al 3.580 3.053 2.090
Al 1.134 1.877 1.577
Al -2.811 6.339 9.276
Al 0.013 5.155 3.233
Al 4.377 2.102 7.208
Al -2.642 5.461 2.213
Al 0.726 4.169 8.164
Al -0.509 3.361 5.216
```

***

(3)
This record from the Alexandria database describes an optimized crystal structure of CoAs2Au. The functional is GGA-PBE.

The calculated density comes out at 10.267 g cm⁻³. The energy above the most stable polymorph in this dataset is 403 meV per atom. Its total magnetization is 0.90 μB per formula unit. As for the space group: P4/mmm. Its total DFT energy (no corrections) is -18.35 eV per cell.

Cell and atoms, written as extended XYZ:
```
4
Lattice="-4.291 -0.705 -0.038 0.705 -4.280 -0.159 -0.010 -0.131 3.474" Properties=species:S:1:pos:R:3 pbc="T T T"
As 0.000 0.000 0.000
As -1.793 -2.493 -0.099
Au -2.150 -0.418 1.718
Co 0.348 -2.206 1.657
```

***

(4)
This record from the Alexandria database describes an optimized crystal structure of Er2ZnS4. The functional is GGA-PBE.

The calculated density comes out at 5.344 g cm⁻³. The energy above the most stable polymorph in this dataset is 24 meV per atom. Its total magnetization is 0.00 μB per formula unit. As for the space group: Fd-3m. Its total DFT energy (no corrections) is -77.31 eV per cell. The calculation puts the raw formation energy at -1.68 eV/atom.

Cell and atoms, written as extended XYZ:
```
14
Lattice="6.721 -0.044 3.844 -2.155 6.366 3.844 0.033 0.046 7.744" Properties=species:S:1:pos:R:3 pbc="T T T"
Er 3.361 -0.022 1.922
Er 3.377 0.001 5.794
Er 2.299 3.184 7.715
Er 0.000 0.000 0.000
Zn 0.041 2.393 3.858
Zn 4.558 3.975 11.573
S 4.501 1.515 3.844
S 4.477 1.567 7.716
S 3.421 4.778 9.601
S 1.194 1.611 9.629
S 3.405 4.757 5.801
S 0.098 4.853 11.587
S 1.178 1.590 5.830
S 0.122 4.801 7.715
```

***

(5)
This record from the Alexandria database describes an optimized crystal structure of KTeCO5. The functional is GGA-PBE.

The calculated density comes out at 4.279 g cm⁻³. Its total magnetization is 0.00 μB per formula unit. As for the space group: C2/c. Its total DFT energy (no corrections) is -91.76 eV per cell. The calculation puts the raw formation energy at -0.95 eV/atom.

Cell and atoms, written as extended XYZ:
```
16
Lattice="-1.674 -5.372 -0.259 5.265 -0.269 1.984 -4.129 3.321 5.221" Properties=species:S:1:pos:R:3 pbc="T T T"
O 1.380 0.223 5.038
O 0.104 -2.074 0.852
O -0.642 -0.247 6.094
O -0.568 0.611 3.913
O 0.030 -2.932 3.033
O -4.261 -2.507 3.822
O -0.126 1.951 5.765
O -1.918 -2.544 1.908
O 3.723 0.186 3.124
O -0.412 -4.272 1.181
Te 0.000 0.000 0.000
Te -2.064 1.660 2.611
K -2.361 -1.109 4.436
K 1.822 -1.212 2.510
C 0.033 0.651 5.210
C -0.572 -2.972 1.736
```

***

(6)
This record from the Alexandria database describes an optimized crystal structure of BeTl3Sb. The functional is GGA-PBE.

The calculated density comes out at 9.227 g cm⁻³. The energy above the most stable polymorph in this dataset is 0 meV per atom. Its total magnetization is 0.00 μB per formula unit. As for the space group: Pm-3m. Its total DFT energy (no corrections) is -13.28 eV per cell. The calculation puts the raw formation energy at 0.33 eV/atom.

Cell and atoms, written as extended XYZ:
```
5
Lattice="5.116 0.000 0.000 0.000 5.116 0.000 0.000 0.000 5.116" Properties=species:S:1:pos:R:3 pbc="T T T"
Be 0.000 0.000 0.000
Tl 0.000 2.558 0.000
Tl 2.558 0.000 0.000
Tl 0.000 0.000 2.558
Sb 2.558 2.558 2.558
```

***

(7)
This record from the Alexandria database describes an optimized crystal structure of Ac4GaIr4. The functional is GGA-PBE.

The calculated density comes out at 12.224 g cm⁻³. Its total magnetization is 0.00 μB per formula unit. As for the space group: P4_2/n. Its total DFT energy (no corrections) is -119.89 eV per cell.

Cell and atoms, written as extended XYZ:
```
18
Lattice="5.987 0.000 0.000 0.000 8.903 0.000 0.000 0.000 8.903" Properties=species:S:1:pos:R:3 pbc="T T T"
Ir 2.477 8.783 5.703
Ir 5.470 1.252 0.120
Ir 3.510 4.332 1.252
Ir 0.517 5.703 4.571
Ir 3.510 0.120 3.200
Ir 0.517 7.651 8.783
Ir 2.477 4.571 7.651
Ir 5.470 3.200 4.332
Ac 0.587 4.767 1.665
Ac 0.587 8.587 2.786
Ac 2.406 1.665 8.587
Ac 3.580 7.238 0.316
Ac 2.406 2.786 4.767
Ac 3.580 6.116 4.136
Ac 5.400 4.136 7.238
Ac 5.400 0.316 6.116
Ga 1.497 6.677 6.677
Ga 4.490 2.226 2.226
```

***

(8)
This record from the Alexandria database describes an optimized crystal structure of AgH3Au. The functional is GGA-PBE.

The calculated density comes out at 9.956 g cm⁻³. The energy above the most stable polymorph in this dataset is 331 meV per atom. Its total magnetization is 0.00 μB per formula unit. As for the space group: Pm-3m. Its total DFT energy (no corrections) is -12.50 eV per cell.

Cell and atoms, written as extended XYZ:
```
5
Lattice="-2.718 -2.526 -0.215 1.530 -1.384 -3.092 2.021 -2.350 2.052" Properties=species:S:1:pos:R:3 pbc="T T T"
H 0.765 -0.692 -1.546
H 1.010 -1.175 1.026
H -1.359 -1.263 -0.108
Au 0.416 -3.130 -0.628
Ag 0.000 0.000 0.000
```

***

(9)
This record from the Alexandria database describes an optimized crystal structure of Rb3CePr2O6. The functional is GGA-PBE.

The calculated density comes out at 5.490 g cm⁻³. Its total magnetization is 0.93 μB per formula unit. As for the space group: C2/m. Its total DFT energy (no corrections) is -78.52 eV per cell. The calculation puts the raw formation energy at -2.53 eV/atom.

Cell and atoms, written as extended XYZ:
```
12
Lattice="6.395 -0.001 0.000 -3.197 5.539 0.000 -1.066 -1.847 6.612" Properties=species:S:1:pos:R:3 pbc="T T T"
O 2.098 0.000 1.193
O 2.149 3.721 1.193
O 0.034 3.692 5.420
O -1.049 1.817 1.193
O 3.181 1.875 5.420
O -0.017 -0.030 5.420
Rb 1.066 1.846 3.306
Rb -2.136 3.695 3.306
Rb 4.268 -0.004 3.306
Pr 0.000 3.692 0.000
Pr 3.198 1.846 0.000
Ce 0.000 0.000 0.000
```

***

(10)
This record from the Alexandria database describes an optimized crystal structure of Y2Tm2Ni15. The functional is GGA-PBE.

The calculated density comes out at 8.820 g cm⁻³. Its total magnetization is 2.22 μB per formula unit. As for the space group: R-3m. Its total DFT energy (no corrections) is -113.47 eV per cell.

Cell and atoms, written as extended XYZ:
```
19
Lattice="6.460 0.014 0.013 0.852 6.403 0.013 0.852 0.748 6.359" Properties=species:S:1:pos:R:3 pbc="T T T"
Ni 4.734 1.980 0.013
Ni 4.906 1.558 4.155
Ni 3.230 0.007 0.006
Ni 5.983 2.502 2.230
Ni 2.578 4.437 0.013
Ni 3.258 5.608 2.230
Ni 2.181 4.663 4.155
Ni 4.906 4.306 1.070
Ni 0.426 3.202 0.006
Ni 0.426 0.374 3.180
Ni 3.258 2.859 5.314
Ni 4.734 0.240 1.966
Ni 0.852 4.663 1.966
Ni 2.578 0.522 4.406
Ni 0.852 2.488 4.406
Tm 7.262 6.374 5.679
Tm 0.902 0.792 0.705
Y 2.938 2.579 2.298
Y 5.226 4.586 4.087
```

***

(11)
This record from the Alexandria database describes an optimized crystal structure of LuAgPb2. The functional is GGA-PBE.

The calculated density comes out at 11.498 g cm⁻³. The energy above the most stable polymorph in this dataset is 0 meV per atom. Its total magnetization is 0.00 μB per formula unit. As for the space group: P4/mmm. Its total DFT energy (no corrections) is -15.62 eV per cell.

Cell and atoms, written as extended XYZ:
```
4
Lattice="4.455 0.000 0.000 0.000 4.754 0.000 0.000 0.000 4.754" Properties=species:S:1:pos:R:3 pbc="T T T"
Lu 2.228 2.377 2.377
Pb 0.000 0.000 2.377
Pb 0.000 2.377 0.000
Ag 2.228 0.000 0.000
```

***

(12)
This record from the Alexandria database describes an optimized crystal structure of AcSmPd. The functional is GGA-PBE.

The calculated density comes out at 8.196 g cm⁻³. The energy above the most stable polymorph in this dataset is 102 meV per atom. Its total magnetization is 0.00 μB per formula unit. As for the space group: F-43m. Its total DFT energy (no corrections) is -15.06 eV per cell.

Cell and atoms, written as extended XYZ:
```
3
Lattice="-0.251 -0.441 -5.150 3.643 -2.646 -2.551 -1.147 -4.564 -2.153" Properties=species:S:1:pos:R:3 pbc="T T T"
Ac 0.000 0.000 0.000
Pd 0.561 -1.913 -2.464
Sm 1.123 -3.826 -4.927
```

***

(13)
This record from the Alexandria database describes an optimized crystal structure of CaLa2YRh. The functional is GGA-PBE.

The calculated density comes out at 4.796 g cm⁻³. The energy above the most stable polymorph in this dataset is 117 meV per atom. Its total magnetization is 0.00 μB per formula unit. As for the space group: P4/mmm. Its total DFT energy (no corrections) is -26.54 eV per cell.

Cell and atoms, written as extended XYZ:
```
5
Lattice="-5.164 -2.012 -0.102 1.984 -5.127 0.707 -0.364 0.645 5.697" Properties=species:S:1:pos:R:3 pbc="T T T"
La 0.992 -2.563 0.354
La -2.582 -1.006 -0.051
Rh 0.000 0.000 0.000
Ca -0.182 0.323 2.848
Y -1.772 -3.247 3.151
```

***

(14)
This record from the Alexandria database describes an optimized crystal structure of Li2NdCd. The functional is GGA-PBE.

The calculated density comes out at 4.904 g cm⁻³. The energy above the most stable polymorph in this dataset is 48 meV per atom. Its total magnetization is 0.00 μB per formula unit. As for the space group: P4/mmm. Its total DFT energy (no corrections) is -9.75 eV per cell.

Cell and atoms, written as extended XYZ:
```
4
Lattice="3.537 0.000 0.000 0.000 3.537 0.000 0.000 0.000 7.323" Properties=species:S:1:pos:R:3 pbc="T T T"
Cd 1.768 1.768 0.000
Li 0.000 0.000 5.900
Li 0.000 0.000 1.423
Nd 1.768 1.768 3.662
```

***

(15)
This record from the Alexandria database describes an optimized crystal structure of ZrP2NO. The functional is GGA-PBE.

The calculated density comes out at 4.729 g cm⁻³. The energy above the most stable polymorph in this dataset is 0 meV per atom. Its total magnetization is 0.00 μB per formula unit. As for the space group: P4/mmm. Its total DFT energy (no corrections) is -32.51 eV per cell. The calculation puts the raw formation energy at 0.03 eV/atom.

Cell and atoms, written as extended XYZ:
```
5
Lattice="3.526 0.000 0.000 0.000 3.526 0.000 0.000 0.000 5.174" Properties=species:S:1:pos:R:3 pbc="T T T"
Zr 1.763 1.763 2.587
N 0.000 0.000 0.000
P 1.763 0.000 0.000
P 0.000 1.763 0.000
O 0.000 0.000 2.587
```

***

(16)
This record from the Alexandria database describes an optimized crystal structure of Li3HgPd. The functional is GGA-PBE.

The calculated density comes out at 5.089 g cm⁻³. The energy above the most stable polymorph in this dataset is 261 meV per atom. Its total magnetization is 0.00 μB per formula unit. As for the space group: Pm-3m. Its total DFT energy (no corrections) is -11.74 eV per cell.

Cell and atoms, written as extended XYZ:
```
5
Lattice="4.747 0.000 0.000 0.000 4.747 0.000 0.000 0.000 4.747" Properties=species:S:1:pos:R:3 pbc="T T T"
Pd 0.000 0.000 0.000
Li 0.000 2.373 0.000
Li 2.373 0.000 0.000
Li 0.000 0.000 2.373
Hg 2.373 2.373 2.373
```

***

(17)
This record from the Alexandria database describes an optimized crystal structure of BeSnC2. The functional is GGA-PBE.

The calculated density comes out at 5.695 g cm⁻³. The energy above the most stable polymorph in this dataset is 978 meV per atom. Its total magnetization is 0.00 μB per formula unit. As for the space group: Fm-3m. Its total DFT energy (no corrections) is -17.74 eV per cell.

Cell and atoms, written as extended XYZ:
```
4
Lattice="1.111 -3.337 1.842 -2.300 -1.564 2.833 -1.957 -3.387 -0.677" Properties=species:S:1:pos:R:3 pbc="T T T"
C -2.359 -6.216 2.998
C -0.786 -2.072 0.999
Be 0.000 0.000 0.000
Sn -1.573 -4.144 1.998
```

***

(18)
This record from the Alexandria database describes an optimized crystal structure of Sm4TlInTe2. The functional is GGA-PBE.

The calculated density comes out at 7.767 g cm⁻³. Its total magnetization is 0.00 μB per formula unit. As for the space group: P2/m. Its total DFT energy (no corrections) is -37.27 eV per cell. The calculation puts the raw formation energy at -0.88 eV/atom.

Cell and atoms, written as extended XYZ:
```
8
Lattice="-2.870 -2.545 -1.898 4.649 -1.048 -5.625 1.541 -5.950 5.647" Properties=species:S:1:pos:R:3 pbc="T T T"
Sm 3.189 -6.488 -0.948
Sm 0.132 -3.055 -0.928
Sm 2.306 -4.694 2.807
Sm 3.885 -2.304 -2.785
Te 3.095 -3.499 0.011
Te -0.664 -4.248 1.874
In 0.890 -1.797 -3.762
Tl 0.000 0.000 0.000
```

***

(19)
This record from the Alexandria database describes an optimized crystal structure of RbPuUBr6. The functional is GGA-PBE.

The calculated density comes out at 4.556 g cm⁻³. Its total magnetization is 9.00 μB per formula unit. As for the space group: P-31c. Its total DFT energy (no corrections) is -99.43 eV per cell. The calculation puts the raw formation energy at -1.45 eV/atom.

Cell and atoms, written as extended XYZ:
```
18
Lattice="7.614 0.000 0.000 -3.807 6.594 0.000 0.000 0.000 15.201" Properties=species:S:1:pos:R:3 pbc="T T T"
Rb 0.000 0.000 7.601
Rb 0.000 0.000 0.000
Br -1.382 2.455 9.700
Br 6.179 2.424 2.100
Br 4.797 0.030 5.501
Br 2.372 4.169 9.700
Br -2.372 4.169 13.102
Br 1.382 2.455 13.102
Br 2.817 0.030 2.100
Br 2.425 4.139 2.100
Br 1.435 2.424 5.501
Br 5.189 4.139 5.501
Br 0.990 6.563 13.102
Br -0.990 6.563 9.700
U 3.807 2.198 3.800
U 0.000 4.396 11.401
Pu 3.807 2.198 11.401
Pu 0.000 4.396 3.800
```

***

(20)
This record from the Alexandria database describes an optimized crystal structure of Nd8Sm3In. The functional is GGA-PBE.

The calculated density comes out at 6.397 g cm⁻³. Its total magnetization is 0.00 μB per formula unit. As for the space group: I-42m. Its total DFT energy (no corrections) is -49.96 eV per cell.

Cell and atoms, written as extended XYZ:
```
12
Lattice="1.795 7.981 -2.284 1.747 -6.196 -5.540 -8.179 -2.172 0.719" Properties=species:S:1:pos:R:3 pbc="T T T"
Nd -4.007 -2.421 -4.798
Nd -0.806 1.805 -2.439
Nd 0.539 4.916 -2.305
Nd -6.074 -5.756 -2.816
Nd -1.976 -1.140 -2.401
Nd -3.558 -6.776 -4.403
Nd -5.583 -3.075 -0.797
Nd -0.674 -5.065 -3.892
Sm -3.216 -4.184 -2.410
Sm -4.800 0.812 -1.988
Sm 0.163 -1.200 -5.117
In 0.000 0.000 0.000
```